Record 1
A geometry-optimized Ti2Hg2Pb structure, computed with PBE-GGA.

a = 8.250 Å, b = 8.250 Å, c = 3.172 Å
α = 90.00°, β = 90.00°, γ = 90.00°
Atoms (fractional coordinates):
1 Ti 0.163 0.337 0.000
2 Ti 0.337 0.837 0.000
3 Ti 0.663 0.163 0.000
4 Ti 0.837 0.663 0.000
5 Hg 0.133 0.633 0.500
6 Hg 0.367 0.133 0.500
7 Hg 0.633 0.867 0.500
8 Hg 0.867 0.367 0.500
9 Pb 0.000 0.000 0.500
10 Pb 0.500 0.500 0.500

Values from the calculation:
Calculated formation energy ... 0.23 eV/atom
Magnetic moment ... 0.00 μB/cell
E above lowest polymorph ... 0.089 eV/atom
DFT total energy ... -3.794 eV/atom
Density ... 10.8 g cm⁻³

Record 2
A geometry-optimized CrAg2W structure, computed with PBE-GGA.

a = 9.699 Å, b = 9.699 Å, c = 9.699 Å
α = 16.79°, β = 16.79°, γ = 16.79°
Atoms (fractional coordinates):
1 Cr 0.000 0.000 0.000
2 Ag 0.252 0.252 0.252
3 Ag 0.748 0.748 0.748
4 W 0.500 0.500 0.500

Values from the calculation:
Calculated formation energy ... 0.68 eV/atom
Magnetic moment ... 3.42 μB/cell
E above lowest polymorph ... 0.292 eV/atom
DFT total energy ... -6.394 eV/atom
Density ... 11.3 g cm⁻³

Record 3
A geometry-optimized CeSiSb2 structure, computed with PBE-GGA.

a = 10.079 Å, b = 10.079 Å, c = 10.079 Å
α = 20.73°, β = 20.73°, γ = 20.73°
Atoms (fractional coordinates):
1 Ce 0.000 0.000 0.000
2 Si 0.500 0.500 0.500
3 Sb 0.107 0.107 0.107
4 Sb 0.893 0.893 0.893

Values from the calculation:
Magnetic moment ... 1.30 μB/cell
E above lowest polymorph ... 0.662 eV/atom
DFT total energy ... -4.658 eV/atom
Density ... 6.1 g cm⁻³

Record 4
A geometry-optimized MgGa3Pt12 structure, computed with PBE-GGA.

a = 3.951 Å, b = 3.951 Å, c = 15.779 Å
α = 90.00°, β = 90.00°, γ = 90.00°
Atoms (fractional coordinates):
1 Mg 0.000 0.000 0.000
2 Ga 0.000 0.000 0.251
3 Ga 0.000 0.000 0.500
4 Ga 0.000 0.000 0.749
5 Pt 0.000 0.500 0.126
6 Pt 0.000 0.500 0.375
7 Pt 0.000 0.500 0.625
8 Pt 0.000 0.500 0.874
9 Pt 0.500 0.000 0.126
10 Pt 0.500 0.000 0.375
11 Pt 0.500 0.000 0.625
12 Pt 0.500 0.000 0.874
13 Pt 0.500 0.500 0.000
14 Pt 0.500 0.500 0.251
15 Pt 0.500 0.500 0.500
16 Pt 0.500 0.500 0.749

Values from the calculation:
Calculated formation energy ... -0.49 eV/atom
Magnetic moment ... 0.00 μB/cell
DFT total energy ... -5.685 eV/atom
Density ... 17.4 g cm⁻³

Record 5
A geometry-optimized CaTl2GeO6 structure, computed with PBE-GGA.

a = 5.877 Å, b = 5.877 Å, c = 5.877 Å
α = 56.84°, β = 56.84°, γ = 56.84°
Atoms (fractional coordinates):
1 Ca 0.000 0.000 0.000
2 Tl 0.273 0.273 0.273
3 Tl 0.780 0.780 0.780
4 Ge 0.490 0.490 0.490
5 O 0.142 0.684 0.392
6 O 0.247 0.598 0.833
7 O 0.392 0.142 0.684
8 O 0.598 0.833 0.247
9 O 0.684 0.392 0.142
10 O 0.833 0.247 0.598

Values from the calculation:
Magnetic moment ... 0.00 μB/cell
DFT total energy ... -5.537 eV/atom
Density ... 7.7 g cm⁻³

Record 6
A geometry-optimized TcHg2O4 structure, computed with PBE-GGA.

a = 6.208 Å, b = 6.208 Å, c = 7.815 Å
α = 128.11°, β = 128.11°, γ = 53.68°
Atoms (fractional coordinates):
1 Tc 0.000 0.000 0.000
2 Hg 0.248 0.748 0.468
3 Hg 0.748 0.248 0.468
4 O 0.177 0.177 0.042
5 O 0.252 0.754 0.136
6 O 0.754 0.252 0.136
7 O 0.818 0.818 0.697

Values from the calculation:
Magnetic moment ... 0.00 μB/cell
DFT total energy ... -5.321 eV/atom
Density ... 5.3 g cm⁻³

Record 7
A geometry-optimized LaEu2Pa structure, computed with PBE-GGA.

a = 12.323 Å, b = 12.323 Å, c = 12.323 Å
α = 16.43°, β = 16.43°, γ = 16.43°
Atoms (fractional coordinates):
1 La 0.000 0.000 0.000
2 Eu 0.244 0.244 0.244
3 Eu 0.756 0.756 0.756
4 Pa 0.500 0.500 0.500

Values from the calculation:
Calculated formation energy ... 0.28 eV/atom
Magnetic moment ... 14.00 μB/cell
DFT total energy ... -8.466 eV/atom
Density ... 8.6 g cm⁻³

Record 8
A geometry-optimized TcAg2I2 structure, computed with PBE-GGA.

a = 5.854 Å, b = 5.854 Å, c = 5.854 Å
α = 120.59°, β = 120.59°, γ = 88.97°
Atoms (fractional coordinates):
1 Tc 0.000 0.000 0.000
2 Ag 0.336 0.336 0.000
3 Ag 0.664 0.664 0.000
4 I 0.250 0.750 0.500
5 I 0.750 0.250 0.500

Values from the calculation:
Magnetic moment ... 3.79 μB/cell
E above lowest polymorph ... 0.105 eV/atom
DFT total energy ... -2.938 eV/atom
Density ... 6.7 g cm⁻³

Record 9
A geometry-optimized KCo2Si structure, computed with PBE-GGA.

a = 5.834 Å, b = 5.834 Å, c = 5.834 Å
α = 154.21°, β = 126.90°, γ = 59.95°
Atoms (fractional coordinates):
1 K 0.000 0.000 0.000
2 Co 0.489 0.489 0.000
3 Co 0.688 0.188 0.500
4 Si 0.296 0.796 0.500

Values from the calculation:
Magnetic moment ... 2.66 μB/cell
DFT total energy ... -4.509 eV/atom
Density ... 4.5 g cm⁻³

Record 10
A geometry-optimized RbLi2FeSe structure, computed with PBE-GGA.

a = 5.032 Å, b = 5.032 Å, c = 5.976 Å
α = 90.00°, β = 90.00°, γ = 90.00°
Atoms (fractional coordinates):
1 Rb 0.000 0.000 0.000
2 Li 0.000 0.500 0.500
3 Li 0.500 0.000 0.500
4 Fe 0.000 0.000 0.500
5 Se 0.500 0.500 0.000

Values from the calculation:
Magnetic moment ... 3.00 μB/cell
DFT total energy ... -2.822 eV/atom
Density ... 2.6 g cm⁻³

Record 11
A geometry-optimized LiAc2Si3Pd12 structure, computed with PBE-GGA.

a = 6.938 Å, b = 6.938 Å, c = 6.938 Å
α = 83.03°, β = 83.03°, γ = 83.03°
Atoms (fractional coordinates):
1 Li 0.000 0.000 0.000
2 Ac 0.368 0.368 0.368
3 Ac 0.632 0.632 0.632
4 Si 0.000 0.000 0.500
5 Si 0.000 0.500 0.000
6 Si 0.500 0.000 0.000
7 Pd 0.081 0.640 0.640
8 Pd 0.173 0.173 0.682
9 Pd 0.173 0.682 0.173
10 Pd 0.318 0.827 0.827
11 Pd 0.360 0.360 0.919
12 Pd 0.360 0.919 0.360
13 Pd 0.640 0.081 0.640
14 Pd 0.640 0.640 0.081
15 Pd 0.682 0.173 0.173
16 Pd 0.827 0.318 0.827
17 Pd 0.827 0.827 0.318
18 Pd 0.919 0.360 0.360

Values from the calculation:
Magnetic moment ... 0.00 μB/cell
DFT total energy ... -5.381 eV/atom
Density ... 9.3 g cm⁻³

Record 12
A geometry-optimized SrPuTl4 structure, computed with PBE-GGA.

a = 3.773 Å, b = 5.256 Å, c = 9.159 Å
α = 90.13°, β = 90.24°, γ = 90.09°
Atoms (fractional coordinates):
1 Sr 0.000 0.000 0.000
2 Pu 0.999 0.500 0.499
3 Tl 0.374 0.000 0.340
4 Tl 0.416 0.500 0.826
5 Tl 0.581 0.500 0.173
6 Tl 0.628 0.000 0.660

Values from the calculation:
Calculated formation energy ... -0.12 eV/atom
Magnetic moment ... 5.84 μB/cell
E above lowest polymorph ... 0.000 eV/atom
DFT total energy ... -4.365 eV/atom
Density ... 10.5 g cm⁻³

Record 13
A geometry-optimized KHgSCl2 structure, computed with PBE-GGA.

a = 5.955 Å, b = 5.955 Å, c = 6.297 Å
α = 90.00°, β = 90.00°, γ = 90.00°
Atoms (fractional coordinates):
1 K 0.000 0.000 0.000
2 Hg 0.500 0.500 0.500
3 S 0.000 0.000 0.500
4 Cl 0.000 0.500 0.000
5 Cl 0.500 0.000 0.000

Values from the calculation:
Magnetic moment ... 3.05 μB/cell
E above lowest polymorph ... 0.688 eV/atom
DFT total energy ... -1.781 eV/atom
Density ... 2.5 g cm⁻³

Record 14
A geometry-optimized Tb3Pr2Y structure, computed with PBE-GGA.

a = 11.905 Å, b = 11.905 Å, c = 10.360 Å
α = 108.22°, β = 108.22°, γ = 17.04°
Atoms (fractional coordinates):
1 Tb 0.059 0.059 0.446
2 Tb 0.194 0.194 0.716
3 Tb 0.430 0.430 0.234
4 Tb 0.570 0.570 0.766
5 Tb 0.806 0.806 0.284
6 Tb 0.941 0.941 0.554
7 Pr 0.191 0.191 0.370
8 Pr 0.432 0.432 0.863
9 Pr 0.568 0.568 0.137
10 Pr 0.809 0.809 0.630
11 Y 0.189 0.189 0.036
12 Y 0.811 0.811 0.964

Values from the calculation:
Calculated formation energy ... 0.12 eV/atom
Magnetic moment ... 0.00 μB/cell
E above lowest polymorph ... 0.027 eV/atom
DFT total energy ... -4.868 eV/atom
Density ... 6.9 g cm⁻³

Record 15
A geometry-optimized CsTl2ZnGa structure, computed with PBE-GGA.

a = 5.862 Å, b = 5.862 Å, c = 5.146 Å
α = 90.00°, β = 90.00°, γ = 90.00°
Atoms (fractional coordinates):
1 Cs 0.000 0.000 0.000
2 Tl 0.000 0.500 0.500
3 Tl 0.500 0.000 0.500
4 Zn 0.500 0.500 0.000
5 Ga 0.500 0.500 0.500

Values from the calculation:
Calculated formation energy ... 0.12 eV/atom
Magnetic moment ... 0.00 μB/cell
E above lowest polymorph ... 0.000 eV/atom
DFT total energy ... -1.860 eV/atom
Density ... 6.4 g cm⁻³

Record 16
A geometry-optimized TlCrMoPt2 structure, computed with PBE-GGA.

a = 4.940 Å, b = 4.940 Å, c = 4.653 Å
α = 90.00°, β = 90.00°, γ = 90.00°
Atoms (fractional coordinates):
1 Tl 0.000 0.000 0.000
2 Cr 0.500 0.500 0.000
3 Mo 0.500 0.500 0.500
4 Pt 0.000 0.500 0.500
5 Pt 0.500 0.000 0.500

Values from the calculation:
Calculated formation energy ... 0.95 eV/atom
Magnetic moment ... 2.50 μB/cell
DFT total energy ... -6.028 eV/atom
Density ... 10.9 g cm⁻³

Record 17
A geometry-optimized CeHfZrO6 structure, computed with PBE-GGA.

a = 5.486 Å, b = 5.486 Å, c = 9.660 Å
α = 90.00°, β = 90.00°, γ = 120.00°
Atoms (fractional coordinates):
1 Ce 0.000 0.000 0.000
2 Ce 0.000 0.000 0.500
3 Hf 0.333 0.667 0.250
4 Hf 0.667 0.333 0.750
5 Zr 0.333 0.667 0.750
6 Zr 0.667 0.333 0.250
7 O 0.005 0.349 0.135
8 O 0.005 0.656 0.365
9 O 0.344 0.349 0.365
10 O 0.344 0.995 0.135
11 O 0.349 0.005 0.635
12 O 0.349 0.344 0.865
13 O 0.651 0.656 0.135
14 O 0.651 0.995 0.365
15 O 0.656 0.005 0.865
16 O 0.656 0.651 0.635
17 O 0.995 0.344 0.635
18 O 0.995 0.651 0.865

Values from the calculation:
Magnetic moment ... 0.00 μB/cell
DFT total energy ... -9.357 eV/atom
Density ... 6.7 g cm⁻³

Record 18
A geometry-optimized LiAc3Tb3Se8 structure, computed with PBE-GGA.

a = 8.577 Å, b = 8.577 Å, c = 8.577 Å
α = 58.73°, β = 58.73°, γ = 58.73°
Atoms (fractional coordinates):
1 Li 0.000 0.000 0.000
2 Ac 0.000 0.000 0.500
3 Ac 0.000 0.500 0.000
4 Ac 0.500 0.000 0.000
5 Tb 0.000 0.500 0.500
6 Tb 0.500 0.000 0.500
7 Tb 0.500 0.500 0.000
8 Se 0.243 0.243 0.740
9 Se 0.243 0.740 0.243
10 Se 0.259 0.259 0.259
11 Se 0.260 0.757 0.757
12 Se 0.740 0.243 0.243
13 Se 0.741 0.741 0.741
14 Se 0.757 0.260 0.757
15 Se 0.757 0.757 0.260

Values from the calculation:
Magnetic moment ... 0.00 μB/cell
DFT total energy ... -5.550 eV/atom
Density ... 6.9 g cm⁻³

Record 19
A geometry-optimized PrNdSm3Sc structure, computed with PBE-GGA.

a = 6.617 Å, b = 6.617 Å, c = 11.537 Å
α = 90.00°, β = 90.00°, γ = 128.54°
Atoms (fractional coordinates):
1 Pr 0.000 0.000 0.000
2 Pr 0.000 0.000 0.500
3 Nd 0.473 0.527 0.750
4 Nd 0.527 0.473 0.250
5 Sm 0.174 0.826 0.750
6 Sm 0.321 0.679 0.030
7 Sm 0.321 0.679 0.470
8 Sm 0.679 0.321 0.530
9 Sm 0.679 0.321 0.970
10 Sm 0.826 0.174 0.250
11 Sc 0.148 0.852 0.250
12 Sc 0.852 0.148 0.750

Values from the calculation:
Calculated formation energy ... 0.10 eV/atom
Magnetic moment ... 0.00 μB/cell
DFT total energy ... -4.910 eV/atom
Density ... 6.6 g cm⁻³

Record 20
A geometry-optimized MgCoP2 structure, computed with PBE-GGA.

a = 4.453 Å, b = 4.453 Å, c = 4.453 Å
α = 129.30°, β = 104.45°, γ = 96.72°
Atoms (fractional coordinates):
1 Mg 0.000 0.000 0.000
2 Co 0.500 0.500 0.000
3 P 0.307 0.807 0.500
4 P 0.693 0.193 0.500

Values from the calculation:
Calculated formation energy ... -0.12 eV/atom
Magnetic moment ... 0.00 μB/cell
DFT total energy ... -4.997 eV/atom
Density ... 3.9 g cm⁻³

Record 21
A geometry-optimized Nd3Ga8Pd3 structure, computed with PBE-GGA.

a = 8.309 Å, b = 8.309 Å, c = 8.309 Å
α = 149.79°, β = 107.28°, γ = 80.72°
Atoms (fractional coordinates):
1 Nd 0.000 0.000 0.000
2 Nd 0.314 0.314 0.000
3 Nd 0.686 0.686 0.000
4 Ga 0.034 0.666 0.368
5 Ga 0.153 0.872 0.281
6 Ga 0.298 0.666 0.632
7 Ga 0.409 0.128 0.281
8 Ga 0.591 0.872 0.719
9 Ga 0.702 0.334 0.368
10 Ga 0.847 0.128 0.719
11 Ga 0.966 0.334 0.632
12 Pd 0.285 0.500 0.785
13 Pd 0.500 0.000 0.500
14 Pd 0.715 0.500 0.215

Values from the calculation:
Calculated formation energy ... -0.71 eV/atom
Magnetic moment ... 0.00 μB/cell
E above lowest polymorph ... 0.000 eV/atom
DFT total energy ... -4.579 eV/atom
Density ... 8.1 g cm⁻³

Record 22
A geometry-optimized Mg4Cd2Au structure, computed with PBE-GGA.

a = 7.570 Å, b = 7.570 Å, c = 7.570 Å
α = 143.64°, β = 143.64°, γ = 52.36°
Atoms (fractional coordinates):
1 Mg 0.110 0.610 0.500
2 Mg 0.390 0.890 0.500
3 Mg 0.610 0.110 0.500
4 Mg 0.890 0.390 0.500
5 Cd 0.249 0.249 0.000
6 Cd 0.751 0.751 0.000
7 Au 0.000 0.000 0.000

Values from the calculation:
Calculated formation energy ... -0.27 eV/atom
Magnetic moment ... 0.00 μB/cell
DFT total energy ... -1.907 eV/atom
Density ... 5.7 g cm⁻³

Record 23
A geometry-optimized GdErPuIn structure, computed with PBE-GGA.

a = 5.431 Å, b = 5.431 Å, c = 5.431 Å
α = 60.00°, β = 60.00°, γ = 60.00°
Atoms (fractional coordinates):
1 Gd 0.000 0.000 0.000
2 Er 0.250 0.250 0.250
3 Pu 0.500 0.500 0.500
4 In 0.750 0.750 0.750

Values from the calculation:
Calculated formation energy ... -0.02 eV/atom
Magnetic moment ... 0.72 μB/cell
DFT total energy ... -8.951 eV/atom
Density ... 10.0 g cm⁻³

Record 24
A geometry-optimized La2InCo structure, computed with PBE-GGA.

a = 6.621 Å, b = 6.621 Å, c = 6.621 Å
α = 103.48°, β = 103.48°, γ = 122.25°
Atoms (fractional coordinates):
1 La 0.054 0.625 0.929
2 La 0.375 0.304 0.429
3 La 0.696 0.125 0.071
4 La 0.875 0.946 0.571
5 In 0.250 0.750 0.500
6 In 0.500 0.500 0.000
7 Co 0.000 0.000 0.000
8 Co 0.750 0.250 0.500

Values from the calculation:
Calculated formation energy ... -0.07 eV/atom
Magnetic moment ... 0.00 μB/cell
DFT total energy ... -4.991 eV/atom
Density ... 7.0 g cm⁻³